# 1
AgAs2AuBr | PBEsol | optimized geometry

Values from the calculation:
E_form (uncorrected) = 977 meV/atom
Raw total energy = -2.89 eV per atom

a = 4.9375 Å, b = 4.9375 Å, c = 5.0246 Å
α = 90.00°, β = 90.00°, γ = 90.00°
Last column: magnetic moment on the atom in μB.
Sites, in units of the cell vectors:
As (0.0000, 0.5000, 0.0000)  0.14
As (0.5000, 0.0000, 0.0000)  0.14
Au (0.5000, 0.5000, 0.5000)  0.03
Br (0.0000, 0.0000, 0.5000)  0.05
Ag (0.0000, 0.0000, 0.0000)  0.01


# 2
BaTa5 | PBEsol | optimized geometry

Values from the calculation:
ΔH_f (0 K) = 383 kJ/mol of formula units
Energy relative to the lowest polymorph listed for this composition = 0 meV/atom
Raw total energy = -10.16 eV per atom

a = 4.2921 Å, b = 6.0600 Å, c = 6.0600 Å
α = 120.00°, β = 90.00°, γ = 90.00°
Sites, in units of the cell vectors:
Ba (0.5000, 0.0000, 0.0000)
Ta (0.0000, 0.5000, 0.5000)
Ta (0.0000, 0.5000, 0.0000)
Ta (0.0000, 0.0000, 0.5000)
Ta (0.5000, 0.3333, 0.6667)
Ta (0.5000, 0.6667, 0.3333)